A relaxed BaGe2Pt4 crystal, computed with PBE.

Cell lengths 4.056, 7.774, 18.553 Å; angles 90.00, 90.00, 90.00 degrees
Fractional positions:
Ge (0.250, 0.719, 0.533)
Ge (0.750, 0.281, 0.467)
Ge (0.750, 0.219, 0.967)
Ge (0.250, 0.781, 0.033)
Ge (0.250, 0.973, 0.798)
Ge (0.750, 0.027, 0.202)
Ge (0.750, 0.473, 0.702)
Ge (0.250, 0.527, 0.298)
Ba (0.750, 0.084, 0.639)
Ba (0.250, 0.916, 0.361)
Ba (0.250, 0.584, 0.861)
Ba (0.750, 0.416, 0.139)
Pt (0.250, 0.295, 0.750)
Pt (0.750, 0.705, 0.250)
Pt (0.750, 0.795, 0.750)
Pt (0.250, 0.205, 0.250)
Pt (0.250, 0.633, 0.662)
Pt (0.750, 0.367, 0.338)
Pt (0.750, 0.133, 0.838)
Pt (0.250, 0.867, 0.162)
Pt (0.250, 0.121, 0.501)
Pt (0.750, 0.879, 0.499)
Pt (0.750, 0.621, 0.999)
Pt (0.250, 0.379, 0.001)
Pt (0.250, 0.472, 0.442)
Pt (0.750, 0.528, 0.558)
Pt (0.750, 0.972, 0.058)
Pt (0.250, 0.028, 0.942)

The energy of formation comes out at -549 meV/atom. The space group is Pnma. As for the total energy: -156.65 eV for the cell shown.


A relaxed CeDyBiN crystal, computed with PBE.

Cell lengths 4.629, 4.629, 9.123 Å; angles 90.00, 90.00, 90.00 degrees
Last column: magnetic moment on the atom in μB.
Fractional positions:
Ce (0.000, 0.000, 0.500)  0.66
Ce (0.500, 0.500, 0.500)  0.66
Dy (0.500, 0.000, 0.828)  0.01
Dy (0.000, 0.500, 0.172)  0.01
Bi (0.000, 0.500, 0.811)  -0.02
Bi (0.500, 0.000, 0.189)  -0.02
N (0.000, 0.500, 0.413)  -0.03
N (0.500, 0.000, 0.587)  -0.03

The space group is P4/nmm. The formation energy from raw total energies comes out at -1.172 eV/atom. As for the total energy: -54.86 eV for the cell shown.


A relaxed Sm6Ir2PtBr3 crystal, computed with PBE.

Cell lengths 7.172, 7.172, 8.067 Å; angles 98.53, 98.53, 119.98 degrees
Fractional positions:
Sm (0.935, 0.594, 0.805)
Sm (0.724, 0.724, 0.195)
Sm (0.065, 0.406, 0.195)
Sm (0.594, 0.935, 0.805)
Sm (0.276, 0.276, 0.805)
Sm (0.406, 0.065, 0.195)
Ir (0.333, 0.667, 0.000)
Ir (0.667, 0.333, 0.000)
Pt (0.000, 0.000, 0.000)
Br (0.168, 0.832, 0.500)
Br (0.832, 0.168, 0.500)
Br (0.500, 0.500, 0.500)

The space group is C2/m. The formation energy from raw total energies comes out at -1.167 eV/atom. As for the total energy: -71.10 eV for the cell shown.


A relaxed Cs2InAuI6 crystal, computed with PBE.

Cell lengths 8.463, 8.463, 8.463 Å; angles 60.00, 60.00, 60.00 degrees
Fractional positions:
Cs (0.750, 0.750, 0.750)
Cs (0.250, 0.250, 0.250)
In (0.000, 0.000, 0.000)
Au (0.500, 0.500, 0.500)
I (0.748, 0.252, 0.252)
I (0.252, 0.252, 0.748)
I (0.252, 0.748, 0.748)
I (0.252, 0.748, 0.252)
I (0.748, 0.252, 0.748)
I (0.748, 0.748, 0.252)

The space group is Fm-3m. The formation energy from raw total energies comes out at -0.795 eV/atom. As for the total energy: -24.98 eV for the cell shown.


A relaxed B2Ir crystal, computed with PBE.

Cell lengths 2.819, 2.819, 3.963 Å; angles 110.84, 110.84, 90.00 degrees
Fractional positions:
B (0.679, 0.679, 0.358)
B (0.321, 0.321, 0.642)
Ir (0.000, 0.000, 0.000)

The energy of formation comes out at 341 meV/atom. The space group is I4/mmm. As for the total energy: -21.19 eV for the cell shown.


A relaxed CePa3Se4 crystal, computed with PBE.

Cell lengths 3.932, 7.191, 7.191 Å; angles 72.61, 90.00, 90.00 degrees
Last column: magnetic moment on the atom in μB.
Fractional positions:
Pa (0.500, 0.000, 0.500)  0.47
Pa (0.000, 0.000, 0.000)  0.41
Pa (0.000, 0.500, 0.500)  0.41
Se (0.000, 0.753, 0.747)  -0.01
Se (0.500, 0.751, 0.251)  -0.01
Se (0.000, 0.247, 0.253)  -0.01
Se (0.500, 0.249, 0.749)  -0.01
Ce (0.500, 0.500, 0.000)  0.55

The space group is Cmmm. The formation energy from raw total energies comes out at -1.346 eV/atom. As for the total energy: -59.13 eV for the cell shown.


A relaxed NiPt4W crystal, computed with PBE.

Cell lengths 5.120, 5.439, 7.180 Å; angles 67.74, 90.00, 90.00 degrees
Fractional positions:
Ni (0.750, 0.851, 0.299)
Ni (0.250, 0.149, 0.701)
Pt (0.268, 0.562, 0.368)
Pt (0.004, 0.748, 0.009)
Pt (0.768, 0.930, 0.632)
Pt (0.504, 0.757, 0.991)
Pt (0.732, 0.438, 0.632)
Pt (0.232, 0.070, 0.368)
Pt (0.996, 0.252, 0.991)
Pt (0.496, 0.243, 0.009)
W (0.750, 0.353, 0.293)
W (0.250, 0.647, 0.707)

The energy of formation comes out at -125 meV/atom. The space group is C2/c. As for the total energy: -87.29 eV for the cell shown.


A relaxed NpSn2Pd9 crystal, computed with PBE.

Cell lengths 4.079, 4.079, 12.198 Å; angles 90.00, 90.00, 90.00 degrees
Last column: magnetic moment on the atom in μB.
Fractional positions:
Np (0.000, 0.000, 0.000)  3.29
Sn (0.000, 0.000, 0.337)  0.01
Sn (0.000, 0.000, 0.663)  0.01
Pd (0.500, 0.500, 0.000)  -0.06
Pd (0.500, 0.500, 0.336)  -0.01
Pd (0.500, 0.500, 0.664)  -0.01
Pd (0.500, 0.000, 0.170)  -0.03
Pd (0.500, 0.000, 0.500)  0.01
Pd (0.500, 0.000, 0.830)  -0.03
Pd (0.000, 0.500, 0.170)  -0.03
Pd (0.000, 0.500, 0.500)  0.01
Pd (0.000, 0.500, 0.830)  -0.03

The energy of formation comes out at -479 meV/atom. The space group is P4/mmm. As for the total energy: -73.43 eV for the cell shown.


A relaxed SmYHoTm crystal, computed with PBE.

Cell lengths 5.670, 5.670, 5.670 Å; angles 60.00, 60.00, 60.00 degrees
Fractional positions:
Y (0.750, 0.750, 0.750)
Tm (0.000, 0.000, 0.000)
Ho (0.500, 0.500, 0.500)
Sm (0.250, 0.250, 0.250)

The energy of formation comes out at 129 meV/atom. The space group is F-43m. As for the total energy: -19.72 eV for the cell shown.


A relaxed DyCoSn6 crystal, computed with PBE.

Cell lengths 6.285, 7.249, 5.928 Å; angles 52.30, 80.04, 73.57 degrees
Fractional positions:
Dy (0.000, 0.000, 0.000)
Co (0.500, 0.500, 0.000)
Sn (0.790, 0.602, 0.602)
Sn (0.790, 0.204, 0.398)
Sn (0.210, 0.796, 0.602)
Sn (0.210, 0.398, 0.398)
Sn (0.632, 0.794, 0.000)
Sn (0.368, 0.206, 0.000)

The energy of formation comes out at -117 meV/atom. The space group is C2/m. As for the total energy: -36.66 eV for the cell shown.


A relaxed Sr2FePb crystal, computed with PBE.

Cell lengths 6.112, 6.112, 6.112 Å; angles 132.82, 132.82, 68.94 degrees
Last column: magnetic moment on the atom in μB.
Fractional positions:
Fe (0.500, 0.500, 0.000)  2.93
Pb (0.750, 0.250, 0.500)  0.00
Sr (0.000, 0.000, 0.000)  -0.07
Sr (0.250, 0.750, 0.500)  -0.04

The energy of formation comes out at 288 meV/atom. The space group is I-4m2. As for the total energy: -14.38 eV for the cell shown.


A relaxed MgTiNF2 crystal, computed with PBE.

Cell lengths 3.980, 3.980, 4.029 Å; angles 90.00, 90.00, 90.00 degrees
Last column: magnetic moment on the atom in μB.
Fractional positions:
N (0.000, 0.000, 0.500)  -0.05
Mg (0.500, 0.500, 0.500)  0.00
F (0.000, 0.500, 0.000)  0.00
F (0.500, 0.000, 0.000)  0.00
Ti (0.000, 0.000, 0.000)  0.64

The space group is P4/mmm. The formation energy from raw total energies comes out at -1.772 eV/atom. As for the total energy: -30.42 eV for the cell shown.


A relaxed LaErSnAu crystal, computed with PBE.

Cell lengths 5.343, 5.343, 5.343 Å; angles 60.00, 60.00, 60.00 degrees
Last column: magnetic moment on the atom in μB.
Fractional positions:
La (0.500, 0.500, 0.500)  0.12
Au (0.750, 0.750, 0.750)  0.03
Sn (0.250, 0.250, 0.250)  -0.02
Er (0.000, 0.000, 0.000)  0.20

The energy of formation comes out at -711 meV/atom. The space group is F-43m. As for the total energy: -19.61 eV for the cell shown.


A relaxed HoTmSnRh crystal, computed with PBE.

Cell lengths 5.055, 5.055, 5.055 Å; angles 60.00, 60.00, 60.00 degrees
Fractional positions:
Tm (0.500, 0.500, 0.500)
Rh (0.750, 0.750, 0.750)
Ho (0.000, 0.000, 0.000)
Sn (0.250, 0.250, 0.250)

The energy of formation comes out at -673 meV/atom. The space group is F-43m. As for the total energy: -23.09 eV for the cell shown.


A relaxed PaTcOsC crystal, computed with PBE.

Cell lengths 4.096, 4.049, 4.163 Å; angles 90.00, 90.00, 90.00 degrees
Fractional positions:
Pa (0.500, 0.500, 0.500)
Tc (0.000, 0.000, 0.500)
Os (0.000, 0.500, 0.000)
C (0.000, 0.000, 0.000)

The energy of formation comes out at 56 meV/atom. The space group is Pmmm. As for the total energy: -40.09 eV for the cell shown.


A relaxed HfMgZr2 crystal, computed with PBE.

Cell lengths 3.184, 3.184, 10.678 Å; angles 81.43, 81.43, 60.00 degrees
Fractional positions:
Hf (0.667, 0.667, 0.000)
Mg (0.500, 0.500, 0.499)
Zr (0.081, 0.081, 0.758)
Zr (0.253, 0.253, 0.242)

The energy of formation comes out at 46 meV/atom. The space group is R3m. As for the total energy: -28.46 eV for the cell shown.


A relaxed Tm4GaAg2Au crystal, computed with PBE.

Cell lengths 5.035, 5.035, 8.752 Å; angles 73.29, 73.29, 60.00 degrees
Fractional positions:
Tm (0.376, 0.376, 0.872)
Tm (0.874, 0.874, 0.378)
Tm (0.126, 0.126, 0.622)
Tm (0.624, 0.624, 0.128)
Ga (0.000, 0.000, 0.000)
Ag (0.747, 0.747, 0.759)
Ag (0.253, 0.253, 0.241)
Au (0.500, 0.500, 0.500)

The energy of formation comes out at -543 meV/atom. The space group is R-3m. As for the total energy: -34.24 eV for the cell shown.


A relaxed K2PuAsSe4 crystal, computed with PBE.

Cell lengths 8.658, 8.658, 8.757 Å; angles 120.38, 120.38, 90.06 degrees
Last column: magnetic moment on the atom in μB.
Fractional positions:
K (0.500, 0.000, 0.000)  0.00
K (0.500, 0.000, 0.500)  0.00
K (0.000, 0.000, 0.500)  0.00
K (0.500, 0.500, 0.000)  0.00
Pu (0.000, 0.500, 0.000)  5.10
Pu (0.000, 0.500, 0.500)  5.10
As (0.500, 0.500, 0.500)  0.04
As (0.000, 0.000, 0.000)  0.04
Se (0.202, 0.745, 0.974)  -0.08
Se (0.755, 0.298, 0.526)  -0.08
Se (0.245, 0.702, 0.474)  -0.08
Se (0.798, 0.255, 0.026)  -0.08
Se (0.762, 0.738, 0.959)  -0.04
Se (0.762, 0.738, 0.541)  -0.04
Se (0.238, 0.262, 0.459)  -0.04
Se (0.238, 0.262, 0.041)  -0.04

The space group is Imma. The formation energy from raw total energies comes out at -0.949 eV/atom. As for the total energy: -85.42 eV for the cell shown.


A relaxed C3SeI crystal, computed with PBE.

Cell lengths 4.056, 4.056, 4.056 Å; angles 90.00, 90.00, 90.00 degrees
Fractional positions:
I (0.500, 0.500, 0.500)
C (0.000, 0.500, 0.000)
C (0.000, 0.000, 0.500)
C (0.500, 0.000, 0.000)
Se (0.000, 0.000, 0.000)

The space group is Pm-3m. The formation energy from raw total energies comes out at 3.046 eV/atom. As for the total energy: -17.48 eV for the cell shown.


A relaxed Li13Ca3 crystal, computed with PBE.

Cell lengths 6.976, 6.976, 8.190 Å; angles 90.00, 90.00, 93.65 degrees
Fractional positions:
Li (0.502, 0.985, 0.281)
Li (0.481, 0.519, 0.257)
Li (0.015, 0.498, 0.281)
Li (0.708, 0.755, 0.000)
Li (0.245, 0.292, 0.000)
Li (0.274, 0.726, 0.000)
Li (0.502, 0.985, 0.719)
Li (0.481, 0.519, 0.743)
Li (0.015, 0.498, 0.719)
Li (0.728, 0.272, 0.500)
Li (0.726, 0.706, 0.500)
Li (0.294, 0.274, 0.500)
Li (0.278, 0.722, 0.500)
Ca (0.016, 0.984, 0.260)
Ca (0.720, 0.280, 0.000)
Ca (0.016, 0.984, 0.740)

The energy of formation comes out at 46 meV/atom. The space group is Amm2. As for the total energy: -30.15 eV for the cell shown.